The following is a DFT calculation (PBE+U) of a geometry-optimized NiAsCF2 structure.

Output
DFT total energy = -16.90 eV/f.u.
Space-group type = P4/mmm
Fermi-level density of states = 2.1 states/eV/f.u.

Cell lengths 3.9448, 5.0812, 3.9448 Å; angles 90.00, 90.00, 90.00 degrees
Each line ends with the local moment (μB).
Element x y z (fractional)
Ni (0.0000, 0.5000, 0.0000)  0.99
As (0.0000, 0.0000, 0.0000)  -0.07
C (0.5000, 0.5000, 0.5000)  0.93
F (0.0000, 0.0000, 0.5000)  0.00
F (0.5000, 0.0000, 0.0000)  0.01